# Cs6KNa2

An optimized crystal structure of Cs6KNa2 (PBE-GGA, Alexandria).

a = 7.6086 Å, b = 10.0627 Å, c = 12.0246 Å
α = 83.11°, β = 71.56°, γ = 67.79°
Atoms (fractional coordinates):
Cs1 0.6863 0.7756 0.8518
Cs2 0.3137 0.2244 0.1482
Cs3 0.0377 0.7763 0.1482
Cs4 0.3454 0.8091 0.5001
Cs5 0.9623 0.2237 0.8518
Cs6 0.6546 0.1910 0.4999
K1 0.0000 0.5000 0.5000
Na1 0.3486 0.5003 0.8025
Na2 0.6514 0.4997 0.1975

Calculated values
Calculated formation energy ... 0.018 eV per atom
SG ... Fmmm
Theoretical density ... 1812 kg/m³
DFT total energy ... -0.966 eV/atom
ΔE to the lowest computed polymorph ... 0 meV per atom